Entry 1:
First-principles (GGA-PBE) data for a relaxed structure of TaTc2P, as listed in Alexandria.

Structure (POSCAR):
```
TaTc2P
1.0
1.596 -2.411 0.000
1.596 2.411 0.000
0.000 0.000 7.872
Ta Tc P
1 2 1
Cartesian
0.000 0.000 0.000
1.596 0.000 2.199
1.596 0.000 5.673
0.000 0.000 3.936
```

Properties
Its formation energy is -0.2 eV/f.u. The volume comes out at 15.15 Å³ per atom. The calculation puts the density of states at the Fermi level at 0.8936 states/eV per atom. The final energy is -9.546 eV/atom. Its space group is Cmmm.

***

Entry 2:
First-principles (GGA-PBE) data for a relaxed structure of Pm2MnGePd6, as listed in Alexandria.

Structure (POSCAR):
```
Pm2MnGePd6
1.0
4.918 -2.838 0.000
4.918 2.838 0.000
-3.278 0.000 7.604
Pm Mn Ge Pd
2 1 1 6
Cartesian
1.637 0.000 0.897
4.921 0.000 6.707
4.918 0.000 0.000
-1.639 0.000 3.802
0.023 0.000 5.624
2.457 1.404 5.631
4.101 1.404 1.973
2.457 -1.404 5.631
4.101 -1.404 1.973
6.535 0.000 1.979
```

Properties
Its formation energy is -4.7 eV/f.u. The volume comes out at 21.22 Å³ per atom. The calculation puts the density of states at the Fermi level at 0.4017 states/eV per atom. The final energy is -5.919 eV/atom. Its space group is C2/m.

***

Entry 3:
First-principles (GGA-PBE) data for a relaxed structure of PrNiHgAu, as listed in Alexandria.

Structure (POSCAR):
```
PrNiHgAu
1.0
0.000 3.486 3.486
3.486 0.000 3.486
3.486 3.486 0.000
Pr Ni Hg Au
1 1 1 1
Cartesian
0.000 0.000 0.000
5.229 5.229 5.229
3.486 3.486 3.486
1.743 1.743 1.743
```

Properties
Its formation energy is -1.1 eV/f.u. The volume comes out at 21.18 Å³ per atom. The calculation puts the density of states at the Fermi level at 0.7786 states/eV per atom. The final energy is -3.821 eV/atom. Its space group is F-43m.

***

Entry 4:
First-principles (GGA-PBE) data for a relaxed structure of Tb2Ce3UP6, as listed in Alexandria.

Structure (POSCAR):
```
Tb2Ce3UP6
1.0
3.501 -6.064 0.000
3.501 6.064 0.000
-2.332 0.000 6.603
Tb Ce U P
2 3 1 6
Cartesian
3.501 4.047 0.000
3.501 -4.047 0.000
-1.166 0.000 3.301
2.335 2.040 3.301
2.335 -2.040 3.301
3.501 0.000 0.000
0.025 1.982 4.999
1.217 0.000 1.607
0.025 -1.982 4.999
4.644 1.982 1.604
3.453 0.000 4.996
4.644 -1.982 1.604
```

Properties
Its formation energy is -17.3 eV/f.u. The volume comes out at 23.36 Å³ per atom. The calculation puts the density of states at the Fermi level at 1.6780 states/eV per atom. The final energy is -7.345 eV/atom. Its space group is C2/m.

***

Entry 5:
First-principles (GGA-PBE) data for a relaxed structure of Na2NdSbTe4, as listed in Alexandria.

Structure (POSCAR):
```
Na2NdSbTe4
1.0
7.837 0.000 0.000
0.000 4.498 0.000
-2.588 0.000 7.548
Na Nd Sb Te
2 1 1 4
Cartesian
0.000 0.000 0.000
3.918 2.249 0.000
-1.294 2.249 3.774
2.625 0.000 3.774
0.080 0.000 5.554
1.371 2.249 2.017
3.878 2.249 5.531
5.169 0.000 1.994
```

Properties
The volume comes out at 33.26 Å³ per atom. The final energy is -3.894 eV/atom. Its formation energy from raw total energies is -85 kJ/mol of atoms. Its space group is P2/m.

***

Entry 6:
First-principles (GGA-PBE) data for a relaxed structure of RhBr2, as listed in Alexandria.

Structure (POSCAR):
```
RhBr2
1.0
4.617 0.000 0.000
0.000 4.617 0.000
0.000 0.000 3.104
Rh Br
1 2
Cartesian
0.000 0.000 0.000
0.000 2.309 1.552
2.309 0.000 1.552
```

Properties
The volume comes out at 22.06 Å³ per atom. The calculation puts the density of states at the Fermi level at 1.0311 states/eV per atom. The final energy is -3.293 eV/atom. Its formation energy from raw total energies is 26 kJ/mol of atoms. Its space group is P4/mmm.

***

Entry 7:
First-principles (GGA-PBE) data for a relaxed structure of YAl3Br, as listed in Alexandria.

Structure (POSCAR):
```
YAl3Br
1.0
5.878 0.000 0.000
0.000 5.878 0.000
0.000 0.000 5.878
Y Al Br
1 3 1
Cartesian
0.000 0.000 0.000
0.000 0.000 2.939
0.000 2.939 0.000
2.939 0.000 0.000
2.939 2.939 2.939
```

Properties
The volume comes out at 40.62 Å³ per atom. The calculation puts the density of states at the Fermi level at 1.1217 states/eV per atom. The final energy is -2.927 eV/atom. Its formation energy from raw total energies is 91 kJ/mol of atoms. Its space group is Pm-3m.

***

Entry 8:
First-principles (GGA-PBE) data for a relaxed structure of Na3ZnCd, as listed in Alexandria.

Structure (POSCAR):
```
Na3ZnCd
1.0
5.575 0.000 0.000
0.000 5.575 0.000
0.000 0.000 5.575
Na Zn Cd
3 1 1
Cartesian
0.000 0.000 2.788
0.000 2.788 0.000
2.788 0.000 0.000
0.000 0.000 0.000
2.788 2.788 2.788
```

Properties
Its formation energy is 1.1 eV/f.u. The volume comes out at 34.66 Å³ per atom. The calculation puts the density of states at the Fermi level at 0.5120 states/eV per atom. The final energy is -1.001 eV/atom. Its space group is Pm-3m.

***

no.,spin magnetization (μB per formula unit)
1,0.000
2,3.981
3,0.000
4,3.999
5,0.000
6,0.000
7,2.678
8,0.000